P) Crystalline Dy3Y7Ho2 at its relaxed geometry, computed with PBE-GGA.

Geometry as POSCAR:
```
Dy3Y7Ho2
1.0
3.573 0.000 0.000
0.000 5.791 0.254
0.000 -1.951 18.559
Dy Y Ho
3 7 2
Direct
0.500 0.500 0.000 Dy
0.000 0.220 0.367 Dy
0.000 0.780 0.633 Dy
0.500 0.742 0.463 Y
0.500 0.258 0.537 Y
0.000 0.683 0.144 Y
0.000 0.000 0.000 Y
0.000 0.317 0.856 Y
0.500 0.813 0.820 Y
0.500 0.187 0.180 Y
0.500 0.707 0.295 Ho
0.500 0.293 0.705 Ho
```

=====

Q) Crystalline Dy3Y7Ho2 at its relaxed geometry, computed with PBE-GGA.

Geometry as POSCAR:
```
Dy3Y7Ho2
1.0
3.515 0.000 0.000
0.000 6.287 0.746
0.000 2.417 17.756
Dy Y Ho
3 7 2
Direct
0.500 0.500 0.000 Dy
0.000 0.108 0.342 Dy
0.000 0.892 0.658 Dy
0.500 0.243 0.502 Y
0.500 0.757 0.498 Y
0.000 0.559 0.166 Y
0.000 0.000 0.000 Y
0.000 0.441 0.834 Y
0.500 0.944 0.831 Y
0.500 0.056 0.169 Y
0.500 0.613 0.327 Ho
0.500 0.387 0.673 Ho
```

=====

The structure with the least stability is P).

=====

P) Crystalline Dy5YHo at its relaxed geometry, computed with PBE-GGA.

Geometry as POSCAR:
```
Dy5YHo
1.0
-3.676 -0.530 5.617
-1.535 -6.068 2.483
6.227 -4.063 11.432
Dy Y Ho
10 2 2
Direct
0.164 0.389 0.754 Dy
0.658 0.687 0.499 Dy
0.389 0.164 0.254 Dy
0.168 0.832 0.750 Dy
0.313 0.342 0.001 Dy
0.687 0.658 0.999 Dy
0.832 0.168 0.250 Dy
0.611 0.836 0.746 Dy
0.342 0.313 0.501 Dy
0.836 0.611 0.246 Dy
0.000 0.000 0.000 Y
0.000 0.000 0.500 Y
0.723 0.277 0.750 Ho
0.277 0.723 0.250 Ho
```

=====

Q) Crystalline Dy5YHo at its relaxed geometry, computed with PBE-GGA.

Geometry as POSCAR:
```
Dy5YHo
1.0
-3.571 -4.485 -0.795
1.315 -5.723 5.307
-5.461 -0.400 5.715
Dy Y Ho
5 1 1
Direct
0.500 0.178 0.822 Dy
0.500 0.822 0.178 Dy
0.745 0.255 0.255 Dy
0.255 0.745 0.745 Dy
0.000 0.500 0.500 Dy
0.000 0.000 0.000 Y
0.500 0.500 0.500 Ho
```

=====

The structure with the least stability is Q).

=====

P) Crystalline DyY3Ho at its relaxed geometry, computed with PBE-GGA.

Geometry as POSCAR:
```
DyY3Ho
1.0
9.103 -2.211 -2.134
0.811 8.415 -2.284
0.811 -1.983 8.491
Dy Y Ho
4 12 4
Direct
0.750 0.408 0.592 Dy
0.250 0.024 0.976 Dy
0.750 0.976 0.024 Dy
0.250 0.592 0.408 Dy
0.382 0.293 0.505 Y
0.556 0.122 0.753 Y
0.882 0.505 0.293 Y
0.118 0.495 0.707 Y
0.816 0.983 0.430 Y
0.056 0.753 0.122 Y
0.618 0.707 0.495 Y
0.944 0.247 0.878 Y
0.444 0.878 0.247 Y
0.316 0.430 0.983 Y
0.184 0.017 0.570 Y
0.684 0.570 0.017 Y
0.546 0.298 0.196 Ho
0.046 0.196 0.298 Ho
0.954 0.804 0.702 Ho
0.454 0.702 0.804 Ho
```

=====

Q) Crystalline DyY3Ho at its relaxed geometry, computed with PBE-GGA.

Geometry as POSCAR:
```
DyY3Ho
1.0
-1.019 -4.297 -2.370
6.632 -2.288 1.267
-0.545 -2.010 9.174
Dy Y Ho
2 6 2
Direct
0.300 0.351 0.100 Dy
0.700 0.649 0.900 Dy
0.900 0.549 0.300 Y
0.100 0.451 0.700 Y
0.700 0.151 0.900 Y
0.099 0.950 0.699 Y
0.300 0.849 0.100 Y
0.901 0.050 0.301 Y
0.500 0.750 0.501 Ho
0.500 0.250 0.499 Ho
```

=====

The structure with the least stability is P).

=====

P) Crystalline Dy2Y2Ho5 at its relaxed geometry, computed with PBE-GGA.

Geometry as POSCAR:
```
Dy2Y2Ho5
1.0
5.514 0.000 1.677
1.332 6.516 5.524
0.211 1.539 9.211
Dy Y Ho
2 2 5
Direct
0.102 0.311 0.485 Dy
0.898 0.689 0.515 Dy
0.438 0.336 0.788 Y
0.562 0.664 0.212 Y
0.320 0.001 0.358 Ho
0.680 0.999 0.642 Ho
0.209 0.652 0.930 Ho
0.791 0.348 0.070 Ho
0.000 0.000 0.000 Ho
```

=====

Q) Crystalline Dy2Y2Ho5 at its relaxed geometry, computed with PBE-GGA.

Geometry as POSCAR:
```
Dy2Y2Ho5
1.0
11.677 0.000 0.000
0.000 6.687 0.000
-5.839 -3.343 7.421
Dy Y Ho
4 4 10
Direct
0.000 0.011 0.000 Dy
0.500 0.511 0.000 Dy
0.263 0.359 0.500 Dy
0.737 0.859 0.500 Dy
0.121 0.684 0.253 Y
0.879 0.430 0.747 Y
0.632 0.184 0.253 Y
0.368 0.930 0.747 Y
0.204 0.658 0.896 Ho
0.796 0.762 0.104 Ho
0.192 0.158 0.896 Ho
0.808 0.262 0.104 Ho
0.380 0.033 0.286 Ho
0.620 0.748 0.714 Ho
0.405 0.533 0.286 Ho
0.595 0.248 0.714 Ho
0.995 0.651 0.500 Ho
0.005 0.151 0.500 Ho
```

=====

The structure with the least stability is Q).

=====

P) Crystalline DyY3Ho7 at its relaxed geometry, computed with PBE-GGA.

Geometry as POSCAR:
```
DyY3Ho7
1.0
5.758 -0.185 -0.237
-2.594 7.910 1.101
-2.594 -0.850 7.941
Dy Y Ho
1 3 7
Direct
0.500 0.500 0.500 Dy
0.000 0.793 0.207 Y
0.500 0.000 0.000 Y
0.000 0.207 0.793 Y
0.211 0.210 0.210 Ho
0.299 0.999 0.599 Ho
0.701 0.401 0.001 Ho
0.299 0.599 0.999 Ho
0.000 0.500 0.500 Ho
0.701 0.001 0.401 Ho
0.789 0.790 0.790 Ho
```

=====

Q) Crystalline DyY3Ho7 at its relaxed geometry, computed with PBE-GGA.

Geometry as POSCAR:
```
DyY3Ho7
1.0
0.602 -0.140 -5.472
3.977 -9.044 0.667
-7.522 -0.229 4.719
Dy Y Ho
1 3 7
Direct
0.500 0.500 0.500 Dy
0.280 0.002 0.780 Y
0.000 0.500 0.000 Y
0.720 0.998 0.220 Y
0.912 0.830 0.912 Ho
0.856 0.708 0.356 Ho
0.679 0.359 0.179 Ho
0.321 0.641 0.821 Ho
0.500 0.000 0.500 Ho
0.144 0.292 0.644 Ho
0.088 0.170 0.088 Ho
```

=====

The structure with the least stability is P).

=====

P) Crystalline DyY2Ho2 at its relaxed geometry, computed with PBE-GGA.

Geometry as POSCAR:
```
DyY2Ho2
1.0
9.288 0.000 0.000
0.000 9.288 0.000
0.000 0.000 3.723
Dy Y Ho
2 4 4
Direct
0.000 0.000 0.000 Dy
0.500 0.500 0.000 Dy
0.328 0.828 0.500 Y
0.828 0.672 0.500 Y
0.672 0.172 0.500 Y
0.172 0.328 0.500 Y
0.126 0.626 0.000 Ho
0.626 0.874 0.000 Ho
0.874 0.374 0.000 Ho
0.374 0.126 0.000 Ho
```

=====

Q) Crystalline DyY2Ho2 at its relaxed geometry, computed with PBE-GGA.

Geometry as POSCAR:
```
DyY2Ho2
1.0
-0.642 -0.353 -6.124
-6.775 -2.039 0.828
-3.972 13.876 1.682
Dy Y Ho
4 8 8
Direct
0.351 0.375 0.301 Dy
0.649 0.625 0.699 Dy
0.851 0.125 0.301 Dy
0.149 0.875 0.699 Dy
0.617 0.375 0.101 Y
0.117 0.125 0.101 Y
0.883 0.875 0.899 Y
0.383 0.625 0.899 Y
0.853 0.625 0.301 Y
0.353 0.875 0.301 Y
0.647 0.125 0.699 Y
0.147 0.375 0.699 Y
0.617 0.875 0.101 Ho
0.117 0.625 0.101 Ho
0.883 0.375 0.899 Ho
0.383 0.125 0.899 Ho
0.749 0.375 0.499 Ho
0.249 0.125 0.499 Ho
0.751 0.875 0.501 Ho
0.251 0.625 0.501 Ho
```

=====

The structure with the least stability is P).

=====

P) Crystalline DyY3Ho5 at its relaxed geometry, computed with PBE-GGA.

Geometry as POSCAR:
```
DyY3Ho5
1.0
-2.216 -1.705 9.197
3.198 1.568 8.928
-5.164 8.933 4.762
Dy Y Ho
2 6 10
Direct
0.132 0.868 0.750 Dy
0.868 0.132 0.250 Dy
0.000 0.000 0.000 Y
0.005 0.654 0.369 Y
0.000 0.000 0.500 Y
0.995 0.346 0.631 Y
0.654 0.005 0.869 Y
0.346 0.995 0.131 Y
0.607 0.393 0.750 Ho
0.850 0.470 0.989 Ho
0.533 0.132 0.212 Ho
0.150 0.530 0.011 Ho
0.868 0.467 0.288 Ho
0.393 0.607 0.250 Ho
0.470 0.850 0.489 Ho
0.530 0.150 0.511 Ho
0.132 0.533 0.712 Ho
0.467 0.868 0.788 Ho
```

=====

Q) Crystalline DyY3Ho5 at its relaxed geometry, computed with PBE-GGA.

Geometry as POSCAR:
```
DyY3Ho5
1.0
6.985 0.000 0.000
0.000 9.689 0.000
0.000 -4.845 8.391
Dy Y Ho
2 6 10
Direct
0.000 0.000 0.000 Dy
0.500 0.000 0.000 Dy
0.750 0.357 0.000 Y
0.750 0.643 0.643 Y
0.750 0.000 0.357 Y
0.250 0.643 0.000 Y
0.250 0.357 0.357 Y
0.250 0.000 0.643 Y
0.000 0.333 0.667 Ho
0.500 0.667 0.333 Ho
0.000 0.667 0.333 Ho
0.500 0.333 0.667 Ho
0.750 0.691 0.000 Ho
0.750 0.309 0.309 Ho
0.750 0.000 0.691 Ho
0.250 0.309 0.000 Ho
0.250 0.691 0.691 Ho
0.250 0.000 0.309 Ho
```

=====

The structure with the least stability is P).

=====

P) Crystalline Dy2Y6Ho at its relaxed geometry, computed with PBE-GGA.

Geometry as POSCAR:
```
Dy2Y6Ho
1.0
1.114 -7.500 -7.988
7.752 -2.404 -5.005
0.358 -9.508 0.634
Dy Y Ho
4 12 2
Direct
0.021 0.759 0.915 Dy
0.479 0.085 0.241 Dy
0.979 0.241 0.085 Dy
0.521 0.915 0.759 Dy
0.601 0.397 0.595 Y
0.899 0.405 0.603 Y
0.399 0.603 0.405 Y
0.101 0.595 0.397 Y
0.779 0.018 0.335 Y
0.721 0.665 0.982 Y
0.221 0.982 0.665 Y
0.279 0.335 0.018 Y
0.322 0.706 0.985 Y
0.178 0.015 0.294 Y
0.678 0.294 0.015 Y
0.822 0.985 0.706 Y
0.250 0.334 0.666 Ho
0.750 0.666 0.334 Ho
```

=====

Q) Crystalline Dy2Y6Ho at its relaxed geometry, computed with PBE-GGA.

Geometry as POSCAR:
```
Dy2Y6Ho
1.0
-4.291 0.487 2.593
-4.441 -7.711 -5.901
3.400 -7.313 6.998
Dy Y Ho
4 12 2
Direct
0.000 0.334 0.834 Dy
0.500 0.834 0.666 Dy
0.500 0.166 0.334 Dy
0.000 0.666 0.166 Dy
0.000 0.000 0.168 Y
0.000 0.668 0.500 Y
0.000 0.666 0.834 Y
0.500 0.166 0.666 Y
0.500 0.168 0.000 Y
0.500 0.500 0.332 Y
0.000 0.000 0.832 Y
0.000 0.332 0.500 Y
0.000 0.334 0.166 Y
0.500 0.834 0.334 Y
0.500 0.832 0.000 Y
0.500 0.500 0.668 Y
0.500 0.500 0.000 Ho
0.000 0.000 0.500 Ho
```

=====

The structure with the least stability is P).

=====

P) Crystalline Dy3Y2Ho8 at its relaxed geometry, computed with PBE-GGA.

Geometry as POSCAR:
```
Dy3Y2Ho8
1.0
5.518 0.000 0.734
0.000 7.583 0.000
-1.340 -3.792 10.052
Dy Y Ho
3 2 8
Direct
0.500 0.000 0.000 Dy
0.000 0.286 0.000 Dy
0.000 0.714 0.000 Dy
0.499 0.241 0.483 Y
0.501 0.759 0.517 Y
0.000 0.665 0.330 Ho
0.000 0.335 0.670 Ho
0.000 0.132 0.263 Ho
0.000 0.868 0.737 Ho
0.500 0.604 0.784 Ho
0.500 0.180 0.784 Ho
0.500 0.820 0.216 Ho
0.500 0.396 0.216 Ho
```

=====

Q) Crystalline Dy3Y2Ho8 at its relaxed geometry, computed with PBE-GGA.

Geometry as POSCAR:
```
Dy3Y2Ho8
1.0
5.407 -0.134 -1.352
-0.546 6.143 -2.793
0.120 1.654 11.818
Dy Y Ho
3 2 8
Direct
0.500 0.000 0.000 Dy
0.000 0.263 0.000 Dy
0.000 0.737 0.000 Dy
0.723 0.723 0.446 Y
0.277 0.277 0.554 Y
0.425 0.425 0.851 Ho
0.575 0.575 0.149 Ho
0.318 0.818 0.637 Ho
0.682 0.182 0.363 Ho
0.152 0.890 0.303 Ho
0.152 0.413 0.303 Ho
0.848 0.587 0.697 Ho
0.848 0.110 0.697 Ho
```

=====

The structure with the least stability is P).